(1)
The following is a PBE-GGA calculation of a geometry-optimized CaEr3Cd2 structure, from Alexandria via LeMat-Bulk.

Lattice parameters (Å, degrees): 5.441 9.218 9.061 125.70 90.00 107.17
Sites, in units of the cell vectors:
Ca1 0.862 0.724 0.908
Ca2 0.138 0.276 0.092
Er1 0.310 0.621 0.615
Er2 0.939 0.879 0.593
Er3 0.616 0.232 0.687
Er4 0.384 0.768 0.313
Er5 0.061 0.121 0.407
Er6 0.690 0.379 0.385
Cd1 0.527 0.055 0.882
Cd2 0.473 0.945 0.118
Cd3 0.768 0.537 0.142
Cd4 0.232 0.463 0.858

Properties
* total energy: -3.0424 eV/atom
* energy above the most stable polymorph in this dataset: 68 meV per atom
* magnetization: 0.007 Bohr magnetons per cell
* DFT formation energy: -0.12 eV per atom

=====

(2)
The following is a PBE-GGA calculation of a geometry-optimized Ac4NdLu structure, from Alexandria via LeMat-Bulk.

Lattice parameters (Å, degrees): 7.144 7.144 7.144 60.00 60.00 60.00
Sites, in units of the cell vectors:
Ac1 0.626 0.626 0.123
Ac2 0.626 0.123 0.626
Ac3 0.626 0.626 0.626
Ac4 0.123 0.626 0.626
Lu1 0.000 0.000 0.000
Nd1 0.250 0.250 0.250

Properties
* total energy: -3.9126 eV/atom
* magnetization: 0.001 Bohr magnetons per cell
* DFT formation energy: 0.37 eV per atom

=====

(3)
The following is a PBE-GGA calculation of a geometry-optimized ScSiRh2 structure, from Alexandria via LeMat-Bulk.

Lattice parameters (Å, degrees): 6.853 6.853 5.625 52.47 52.47 90.00
Sites, in units of the cell vectors:
Sc1 0.000 0.000 0.000
Sc2 0.750 0.250 0.500
Si1 0.500 0.500 0.000
Si2 0.250 0.750 0.500
Rh1 0.566 0.125 0.250
Rh2 0.184 0.625 0.250
Rh3 0.375 0.434 0.750
Rh4 0.875 0.816 0.750

Properties
* total energy: -7.1940 eV/atom
* magnetization: 0.000 Bohr magnetons per cell